No. 1
12
Lattice="4.609 0.000 0.000 0.000 4.609 0.000 0.000 0.000 13.801" Properties=species:S:1:pos:R:3 comment="Y2ScIn9 (PBE-GGA, relaxed)" space_group="No. 123" magnetic_moment_mub_per_atom=0.0000 pbc="T T T"
Y 0.000 0.000 2.339
Y 0.000 0.000 11.461
Sc 0.000 0.000 6.900
In 0.000 2.305 0.000
In 0.000 2.305 4.683
In 0.000 2.305 9.118
In 2.305 0.000 0.000
In 2.305 0.000 4.683
In 2.305 0.000 9.118
In 2.305 2.305 2.323
In 2.305 2.305 6.900
In 2.305 2.305 11.478

---

No. 2
12
Lattice="11.552 -2.722 0.000 11.552 2.722 0.000 -1.028 0.000 6.970" Properties=species:S:1:pos:R:3 comment="AcSmDyY3 (PBE-GGA, relaxed)" space_group="No. 12" magnetic_moment_mub_per_atom=0.0000 pbc="T T T"
Ac 2.444 0.000 3.335
Ac 19.634 0.000 3.634
Sm 3.833 0.000 0.183
Sm 18.244 0.000 6.787
Dy 8.929 0.000 6.134
Dy 13.148 0.000 0.836
Y -0.283 0.000 5.463
Y 5.659 0.000 4.776
Y 7.227 0.000 1.507
Y 14.850 0.000 5.463
Y 16.419 0.000 2.194
Y 22.360 0.000 1.507

---

No. 3
6
Lattice="0.000 4.267 4.267 4.267 0.000 4.267 4.267 4.267 0.000" Properties=species:S:1:pos:R:3 comment="LaMgHg4 (PBE-GGA, relaxed)" space_group="No. 216" magnetic_moment_mub_per_atom=0.0000 e_above_lowest_polymorph_mev_per_atom=0 pbc="T T T"
La 0.000 0.000 0.000
Mg 6.401 6.401 6.401
Hg 3.201 3.201 3.201
Hg 5.333 5.333 3.201
Hg 5.333 3.201 5.333
Hg 3.201 5.333 5.333

---

Summary of energy of formation in eV per atom
-0.38, 0.23, -0.17
(order as listed above)